1.
A plane-wave DFT calculation with GGA-PBE was carried out for an optimized crystal structure of PrNd2Ho3S6.

Cell lengths 6.844, 6.844, 7.005 Å; angles 99.36, 99.36, 120.16 degrees
Sites, in units of the cell vectors:
Pr1 0.000 0.000 0.000
Nd1 0.333 0.667 0.000
Nd2 0.667 0.333 0.000
Ho1 0.166 0.834 0.500
Ho2 0.500 0.500 0.500
Ho3 0.834 0.166 0.500
S1 0.090 0.425 0.269
S2 0.245 0.245 0.731
S3 0.425 0.090 0.269
S4 0.575 0.910 0.731
S5 0.755 0.755 0.269
S6 0.910 0.575 0.731

- Space group: C2/m
- Uncorrected formation energy: -2.01 eV/atom

2.
A plane-wave DFT calculation with GGA-PBE was carried out for an optimized crystal structure of Pr4NdHo3S8.

Cell lengths 8.107, 8.107, 8.107 Å; angles 58.97, 58.97, 58.97 degrees
Sites, in units of the cell vectors:
Pr1 0.000 0.000 0.000
Pr2 0.000 0.500 0.500
Pr3 0.500 0.000 0.500
Pr4 0.500 0.500 0.000
Nd1 0.500 0.500 0.500
Ho1 0.000 0.000 0.500
Ho2 0.000 0.500 0.000
Ho3 0.500 0.000 0.000
S1 0.236 0.749 0.749
S2 0.243 0.243 0.243
S3 0.251 0.251 0.764
S4 0.251 0.764 0.251
S5 0.749 0.236 0.749
S6 0.749 0.749 0.236
S7 0.757 0.757 0.757
S8 0.764 0.251 0.251

- Space group: R-3m
- Uncorrected formation energy: -2.00 eV/atom

3.
A plane-wave DFT calculation with GGA-PBE was carried out for an optimized crystal structure of PrNd2HoS6.

Cell lengths 7.508, 7.508, 7.508 Å; angles 56.76, 56.76, 56.76 degrees
Sites, in units of the cell vectors:
Pr1 0.000 0.000 0.000
Nd1 0.289 0.289 0.289
Nd2 0.793 0.793 0.793
Ho1 0.495 0.495 0.495
S1 0.107 0.688 0.397
S2 0.207 0.602 0.879
S3 0.397 0.107 0.688
S4 0.602 0.879 0.207
S5 0.688 0.397 0.107
S6 0.879 0.207 0.602

- Space group: R3
- Uncorrected formation energy: -2.02 eV/atom

4.
A plane-wave DFT calculation with GGA-PBE was carried out for an optimized crystal structure of Pr2Nd3HoS6.

Cell lengths 7.027, 7.027, 7.011 Å; angles 99.60, 99.60, 120.13 degrees
Sites, in units of the cell vectors:
Pr1 0.167 0.833 0.000
Pr2 0.833 0.167 0.000
Nd1 0.000 0.000 0.500
Nd2 0.328 0.672 0.500
Nd3 0.672 0.328 0.500
Ho1 0.500 0.500 0.000
S1 0.097 0.419 0.756
S2 0.262 0.262 0.249
S3 0.419 0.097 0.756
S4 0.581 0.903 0.244
S5 0.738 0.738 0.751
S6 0.903 0.581 0.244

- Space group: C2/m
- Uncorrected formation energy: -2.02 eV/atom

5.
A plane-wave DFT calculation with GGA-PBE was carried out for an optimized crystal structure of PrNdHo2Sb4.

Cell lengths 7.709, 4.460, 7.720 Å; angles 90.00, 109.51, 90.00 degrees
Sites, in units of the cell vectors:
Pr1 0.000 0.000 0.000
Nd1 0.000 0.500 0.500
Ho1 0.500 0.000 0.500
Ho2 0.500 0.500 0.000
Sb1 0.261 0.000 0.753
Sb2 0.261 0.500 0.255
Sb3 0.739 0.000 0.247
Sb4 0.739 0.500 0.745

- Space group: P2/m
- Uncorrected formation energy: -1.15 eV/atom

6.
A plane-wave DFT calculation with GGA-PBE was carried out for an optimized crystal structure of PrNd2HoSb4.

Cell lengths 7.783, 4.498, 7.786 Å; angles 90.00, 109.48, 90.00 degrees
Sites, in units of the cell vectors:
Pr1 0.000 0.000 0.000
Nd1 0.000 0.500 0.500
Nd2 0.500 0.000 0.500
Ho1 0.500 0.500 0.000
Sb1 0.255 0.500 0.248
Sb2 0.257 0.000 0.756
Sb3 0.743 0.000 0.244
Sb4 0.745 0.500 0.752

- Space group: P2/m
- Uncorrected formation energy: -1.16 eV/atom

Per-record VASP energy, eV/atom: -6.410, -6.417, -6.383, -6.449, -5.547, -5.586